The following is a DFT calculation (PBE) of a relaxed structure of ZrCdSnF2.

Lattice parameters (Å, degrees): 4.413 4.413 6.192 90.00 90.00 90.00
Sites, in units of the cell vectors:
Zr: 0.000 0.000 0.000
Cd: 0.500 0.500 0.000
Sn: 0.000 0.000 0.500
F: 0.000 0.500 0.500
F: 0.500 0.000 0.500

Properties
The uncorrected formation energy comes out at -0.7566 eV per atom.



The following is a DFT calculation (PBE) of a relaxed structure of Cs3WN.

Lattice parameters (Å, degrees): 5.977 5.977 5.977 90.00 90.00 90.00
Sites, in units of the cell vectors:
Cs: 0.000 0.000 0.500
Cs: 0.000 0.500 0.000
Cs: 0.500 0.000 0.000
W: 0.000 0.000 0.000
N: 0.500 0.500 0.500

Properties
The uncorrected formation energy comes out at 2.4886 eV per atom.



The following is a DFT calculation (PBE) of a relaxed structure of RbVSe2N.

Lattice parameters (Å, degrees): 5.291 5.291 3.716 90.00 90.00 90.00
Sites, in units of the cell vectors:
Rb: 0.000 0.000 0.000
V: 0.500 0.500 0.500
Se: 0.000 0.500 0.500
Se: 0.500 0.000 0.500
N: 0.500 0.500 0.000

Properties
The energy above the lowest structure with this stoichiometry comes out at 0.0 kJ per mole of atoms. The uncorrected formation energy comes out at -0.2583 eV per atom.



The following is a DFT calculation (PBE) of a relaxed structure of SbIrPb2.

Lattice parameters (Å, degrees): 3.401 4.931 12.363 90.00 90.00 90.00
Sites, in units of the cell vectors:
Sb: 0.000 0.000 0.000
Sb: 0.500 0.500 0.500
Ir: 0.000 0.500 0.666
Ir: 0.500 0.000 0.166
Pb: 0.000 0.000 0.373
Pb: 0.000 0.500 0.189
Pb: 0.500 0.000 0.689
Pb: 0.500 0.500 0.873

Properties
The uncorrected formation energy comes out at 0.1790 eV per atom.



The following is a DFT calculation (PBE) of a relaxed structure of Rb2SnO.

Lattice parameters (Å, degrees): 8.246 8.246 8.246 90.00 90.00 90.00
Sites, in units of the cell vectors:
Rb: 0.250 0.250 0.250
Rb: 0.250 0.250 0.750
Rb: 0.250 0.750 0.250
Rb: 0.250 0.750 0.750
Rb: 0.750 0.250 0.250
Rb: 0.750 0.250 0.750
Rb: 0.750 0.750 0.250
Rb: 0.750 0.750 0.750
Sn: 0.000 0.000 0.000
Sn: 0.000 0.500 0.500
Sn: 0.500 0.000 0.500
Sn: 0.500 0.500 0.000
O: 0.000 0.000 0.500
O: 0.000 0.500 0.000
O: 0.500 0.000 0.000
O: 0.500 0.500 0.500

Properties
The energy above the lowest structure with this stoichiometry comes out at 65.3 kJ per mole of atoms. The uncorrected formation energy comes out at 0.1917 eV per atom.



The following is a DFT calculation (PBE) of a relaxed structure of Pm2PrSm3Er6.

Lattice parameters (Å, degrees): 6.213 6.213 11.749 95.04 95.04 119.99
Sites, in units of the cell vectors:
Pm: 0.167 0.833 0.000
Pm: 0.833 0.167 0.000
Pr: 0.500 0.500 0.000
Sm: 0.000 0.000 0.500
Sm: 0.333 0.667 0.500
Sm: 0.667 0.333 0.500
Er: 0.082 0.416 0.749
Er: 0.250 0.250 0.251
Er: 0.416 0.082 0.749
Er: 0.584 0.918 0.251
Er: 0.750 0.750 0.749
Er: 0.918 0.584 0.251

Properties
For the energy of formation from the pure elements, the calculation gives 15 meV/atom.



The following is a DFT calculation (PBE) of a relaxed structure of LaIn3Bi.

Lattice parameters (Å, degrees): 6.025 6.025 6.025 90.00 90.00 90.00
Sites, in units of the cell vectors:
La: 0.000 0.000 0.000
In: 0.000 0.000 0.500
In: 0.000 0.500 0.000
In: 0.500 0.000 0.000
Bi: 0.500 0.500 0.500

Properties
The energy above the lowest structure with this stoichiometry comes out at 27.9 kJ per mole of atoms. For the energy of formation from the pure elements, the calculation gives 683 meV/atom.



The following is a DFT calculation (PBE) of a relaxed structure of KTaTl.

Lattice parameters (Å, degrees): 3.473 5.000 17.687 90.00 90.00 90.00
Sites, in units of the cell vectors:
K: 0.000 0.000 0.000
K: 0.000 0.500 0.500
K: 0.500 0.000 0.500
K: 0.500 0.500 0.000
Ta: 0.000 0.000 0.682
Ta: 0.000 0.500 0.182
Ta: 0.500 0.000 0.182
Ta: 0.500 0.500 0.682
Tl: 0.000 0.000 0.328
Tl: 0.000 0.500 0.828
Tl: 0.500 0.000 0.828
Tl: 0.500 0.500 0.328

Properties
The energy above the lowest structure with this stoichiometry comes out at 1.5 kJ per mole of atoms. For the energy of formation from the pure elements, the calculation gives 830 meV/atom.